Record 1
# PBE Zr2Cu, optimized geometry
data_Zr2Cu
_cell_length_a 3.0332
_cell_length_b 3.0332
_cell_length_c 25.7858
_cell_angle_alpha 90.00
_cell_angle_beta 90.00
_cell_angle_gamma 90.00
_space_group_name_H-M_alt 'I 41/a m d'
_space_group_IT_number 141
loop_
_space_group_symop_operation_xyz
'x,y,z'
'-x,-y,-z'
'-y+1/4,x+3/4,z+1/4'
'y+1/4,-x+3/4,-z+1/4'
'-x+1/2,-y,z+1/2'
'x+1/2,y,-z+1/2'
'y+1/4,-x+1/4,z+3/4'
'-y+1/4,x+1/4,-z+3/4'
'x,-y,-z'
'-x,y,z'
'-y+1/4,-x+1/4,-z+3/4'
'y+1/4,x+1/4,z+3/4'
'-x+1/2,y,-z+1/2'
'x+1/2,-y,z+1/2'
'y+1/4,x+3/4,-z+1/4'
'-y+1/4,-x+3/4,z+1/4'
'x+1/2,y+1/2,z+1/2'
'-x+1/2,-y+1/2,-z+1/2'
'-y+3/4,x+1/4,z+3/4'
'y+3/4,-x+1/4,-z+3/4'
'-x,-y+1/2,z'
'x,y+1/2,-z'
'y+3/4,-x+3/4,z+1/4'
'-y+3/4,x+3/4,-z+1/4'
'x+1/2,-y+1/2,-z+1/2'
'-x+1/2,y+1/2,z+1/2'
'-y+3/4,-x+3/4,-z+1/4'
'y+3/4,x+3/4,z+1/4'
'-x,y+1/2,-z'
'x,-y+1/2,z'
'y+3/4,x+1/4,-z+3/4'
'-y+3/4,-x+1/4,z+3/4'
loop_
_atom_site_label
_atom_site_type_symbol
_atom_site_fract_x
_atom_site_fract_y
_atom_site_fract_z
Zr1 Zr 0.0000 0.2500 0.3024
Cu1 Cu 0.0000 0.2500 0.8750
# **Magnetization**: 0.000 μB per cell



Record 2
# PBE ZrCu3, optimized geometry
data_ZrCu3
_cell_length_a 2.7081
_cell_length_b 4.2692
_cell_length_c 5.1815
_cell_angle_alpha 90.00
_cell_angle_beta 90.00
_cell_angle_gamma 90.00
_space_group_name_H-M_alt 'P m m 2'
_space_group_IT_number 25
loop_
_space_group_symop_operation_xyz
'x,y,z'
'-x,-y,z'
'-x,y,z'
'x,-y,z'
loop_
_atom_site_label
_atom_site_type_symbol
_atom_site_fract_x
_atom_site_fract_y
_atom_site_fract_z
Zr1 Zr 0.0000 0.0000 0.0000
Cu1 Cu 0.0000 0.5000 0.6480
Cu2 Cu 0.5000 0.0000 0.5066
Cu3 Cu 0.5000 0.5000 0.2368
# **Magnetization**: 0.000 μB per cell



Record 3
# PBE Zr5Cu3, optimized geometry
data_Zr5Cu3
_cell_length_a 3.2214
_cell_length_b 3.2214
_cell_length_c 14.7058
_cell_angle_alpha 90.00
_cell_angle_beta 90.00
_cell_angle_gamma 90.00
_space_group_name_H-M_alt 'P 4/m m m'
_space_group_IT_number 123
_space_group_name_Hall '-P 4 2'
loop_
_atom_site_label
_atom_site_type_symbol
_atom_site_fract_x
_atom_site_fract_y
_atom_site_fract_z
Zr1 Zr 0.0000 0.0000 0.0000
Zr2 Zr 0.0000 0.0000 0.2348
Zr3 Zr 0.5000 0.5000 0.3810
Cu1 Cu 0.0000 0.0000 0.5000
Cu2 Cu 0.5000 0.5000 0.1161
# **E above lowest polymorph**: 0.0 kJ/mol of atoms
# **Magnetization**: 0.000 μB per cell



Record 4
# PBE Zr2Cu, optimized geometry
data_Zr2Cu
_cell_length_a 10.6222
_cell_length_b 3.2621
_cell_length_c 8.2182
_cell_angle_alpha 90.00
_cell_angle_beta 123.87
_cell_angle_gamma 90.00
_space_group_name_H-M_alt 'C 1 2/m 1'
_space_group_IT_number 12
loop_
_space_group_symop_operation_xyz
'x,y,z'
'-x,-y,-z'
'-x,y,-z'
'x,-y,z'
'x+1/2,y+1/2,z'
'-x+1/2,-y+1/2,-z'
'-x+1/2,y+1/2,-z'
'x+1/2,-y+1/2,z'
loop_
_atom_site_label
_atom_site_type_symbol
_atom_site_fract_x
_atom_site_fract_y
_atom_site_fract_z
Zr1 Zr 0.0744 0.0000 0.3376
Zr2 Zr 0.1584 0.5000 0.0572
Cu1 Cu 0.1352 0.5000 0.6494
# **Magnetization**: 0.000 μB per cell



Calculated calculated formation energy, 0.09 0.06 -0.12 -0.08 eV/atom (same order as the records).
Calculated V, 59.3 59.9 152.6 59.1 Å³/f.u. (same order as the records).